A relaxed structure of BaRhPb. Source: Alexandria, functional GGA-PBE.

For the total magnetization, the calculation gives 0.00 μB/cell. The energy of formation comes out at 672 meV/atom. The raw total energy is -3.656 eV/atom.

Structure (CIF):
```
data_BaRhPb
_chemical_formula_sum 'Ba4 Rh4 Pb4'
_space_group_name_H-M_alt 'F -4 3 m'
_space_group_IT_number 216
_space_group_name_Hall 'F -4 2 3'
_cell_length_a 7.437
_cell_length_b 7.437
_cell_length_c 7.437
_cell_angle_alpha 90.00
_cell_angle_beta 90.00
_cell_angle_gamma 90.00
loop_
_atom_site_label
_atom_site_fract_x
_atom_site_fract_y
_atom_site_fract_z
Ba1 0.000 0.000 0.000
Rh1 0.250 0.250 0.750
Pb1 0.250 0.250 0.250
```